# PBE NaZnCo2Ni, relaxed
data_NaZnCo2Ni
_space_group_name_H-M_alt 'P 4/m m m'
_space_group_IT_number 123
_space_group_name_Hall '-P 4 2'
_cell_length_a 4.495
_cell_length_b 4.495
_cell_length_c 4.492
_cell_angle_alpha 90.00
_cell_angle_beta 90.00
_cell_angle_gamma 90.00
loop_
_atom_site_label
_atom_site_type_symbol
_atom_site_fract_x
_atom_site_fract_y
_atom_site_fract_z
Na1 Na 0.000 0.000 0.000
Zn1 Zn 0.500 0.500 0.500
Co1 Co 0.000 0.500 0.500
Ni1 Ni 0.500 0.500 0.000
# **Calculated volume**: 90.8 Å³ per cell
# **D(E_F)**: 7.649 states/eV/cell
# **Calculated formation energy**: 1.03 eV per atom